First-principles (GGA-PBE) data for an optimized crystal structure of SiTe2RuI, as listed in the Alexandria database.

```
5
Lattice="5.2582 0.0000 0.0000 0.0000 5.2582 0.0000 0.0000 0.0000 5.4091" Properties=species:S:1:pos:R:3 pbc="T T T"
Si 0.0000 0.0000 0.0000
Te 0.0000 2.6291 0.0000
Te 2.6291 0.0000 0.0000
Ru 2.6291 2.6291 2.7046
I 0.0000 0.0000 2.7046
```

The energy above the most stable polymorph in this dataset comes out at 0.367 eV/atom. The uncorrected formation energy comes out at 1.133 eV per atom. The total magnetization comes out at 3.53 μB/f.u. The calculation puts the density of states at the Fermi level at 4.9 states/eV per cell. As for the total energy: -16.87 eV per formula unit. As for the space group: P4/mmm (123).